# 1
{
  "formula": "Pr2ThAg2Hg2",
  "functional": "GGA-PBE",
  "state": "relaxed",
  "delta_e_f_ev_per_atom": -0.202,
  "dos_at_fermi_per_ev_cell": 4.5,
  "lattice": [[4.939, 0.000, 0.000], [2.469, 4.277, 0.000], [2.469, 1.426, 9.025]],
  "species": ["Pr", "Pr", "Ag", "Ag", "Hg", "Hg", "Th"],
  "frac_coords": [[0.123, 0.123, 0.632], [0.877, 0.877, 0.368], [0.394, 0.394, 0.818], [0.606, 0.606, 0.182], [0.264, 0.264, 0.208], [0.736, 0.736, 0.792], [0.000, 0.000, 0.000]]
}

---

# 2
{
  "formula": "Pr4Tl2AgHg",
  "functional": "GGA-PBE",
  "state": "relaxed",
  "delta_e_f_ev_per_atom": -0.374,
  "dos_at_fermi_per_ev_cell": 7.8,
  "lattice": [[-4.253, -3.469, -0.267], [-1.980, -2.277, 4.592], [-7.759, 4.977, 2.410]],
  "species": ["Pr", "Pr", "Pr", "Pr", "Tl", "Tl", "Hg", "Ag"],
  "frac_coords": [[0.376, 0.376, 0.871], [0.624, 0.624, 0.129], [0.874, 0.874, 0.379], [0.126, 0.126, 0.621], [0.750, 0.750, 0.751], [0.250, 0.250, 0.249], [0.000, 0.000, 0.000], [0.500, 0.500, 0.500]]
}

---

# 3
{
  "formula": "Pr4TlAgHg2",
  "functional": "GGA-PBE",
  "state": "relaxed",
  "delta_e_f_ev_per_atom": -0.389,
  "dos_at_fermi_per_ev_cell": 8.7,
  "lattice": [[-3.030, 0.009, 4.539], [-2.445, -4.588, 1.658], [5.401, -3.633, 6.893]],
  "species": ["Pr", "Pr", "Pr", "Pr", "Tl", "Hg", "Hg", "Ag"],
  "frac_coords": [[0.128, 0.128, 0.616], [0.872, 0.872, 0.384], [0.378, 0.378, 0.865], [0.622, 0.622, 0.135], [0.000, 0.000, 0.000], [0.748, 0.748, 0.756], [0.252, 0.252, 0.244], [0.500, 0.500, 0.500]]
}

---

# 4
{
  "formula": "PrTlAgHg",
  "functional": "GGA-PBE",
  "state": "relaxed",
  "delta_e_f_ev_per_atom": -0.291,
  "dos_at_fermi_per_ev_cell": 2.2,
  "e_above_lowest_polymorph_kj_per_mol_atoms": 0.00,
  "lattice": [[5.223, 0.000, 0.000], [2.612, 4.523, 0.000], [2.612, 1.508, 4.265]],
  "species": ["Hg", "Pr", "Tl", "Ag"],
  "frac_coords": [[0.250, 0.250, 0.250], [0.000, 0.000, 0.000], [0.500, 0.500, 0.500], [0.750, 0.750, 0.750]]
}

---

# 5
{
  "formula": "Pr4TlAg2Hg",
  "functional": "GGA-PBE",
  "state": "relaxed",
  "delta_e_f_ev_per_atom": -0.337,
  "dos_at_fermi_per_ev_cell": 8.1,
  "lattice": [[-4.558, -2.891, -0.630], [-0.468, -4.880, 2.343], [-5.097, 1.222, 7.829]],
  "species": ["Pr", "Pr", "Pr", "Pr", "Ag", "Ag", "Hg", "Tl"],
  "frac_coords": [[0.873, 0.873, 0.381], [0.127, 0.127, 0.619], [0.623, 0.623, 0.131], [0.377, 0.377, 0.869], [0.252, 0.252, 0.244], [0.748, 0.748, 0.756], [0.500, 0.500, 0.500], [0.000, 0.000, 0.000]]
}

---

# 6
{
  "formula": "PrTlAgHg",
  "functional": "GGA-PBE",
  "state": "relaxed",
  "delta_e_f_ev_per_atom": -0.274,
  "dos_at_fermi_per_ev_cell": 2.6,
  "e_above_lowest_polymorph_kj_per_mol_atoms": 1.59,
  "lattice": [[-3.481, -3.508, 1.626], [1.591, -4.667, 1.662], [-0.312, -1.207, 5.051]],
  "species": ["Tl", "Ag", "Pr", "Hg"],
  "frac_coords": [[0.250, 0.250, 0.250], [0.500, 0.500, 0.500], [0.000, 0.000, 0.000], [0.750, 0.750, 0.750]]
}

---

# 7
{
  "formula": "PrYAgHg",
  "functional": "GGA-PBE",
  "state": "relaxed",
  "delta_e_f_ev_per_atom": -0.383,
  "dos_at_fermi_per_ev_cell": 3.3,
  "lattice": [[5.315, 0.000, 0.000], [2.658, 4.603, 0.000], [2.658, 1.534, 4.340]],
  "species": ["Pr", "Ag", "Hg", "Y"],
  "frac_coords": [[0.250, 0.250, 0.250], [0.000, 0.000, 0.000], [0.500, 0.500, 0.500], [0.750, 0.750, 0.750]]
}

---

# 8
{
  "formula": "Pr2YAg2Hg2",
  "functional": "GGA-PBE",
  "state": "relaxed",
  "delta_e_f_ev_per_atom": -0.252,
  "dos_at_fermi_per_ev_cell": 5.7,
  "lattice": [[4.899, 0.000, 0.000], [2.450, 4.243, 0.000], [2.450, 1.414, 8.989]],
  "species": ["Y", "Hg", "Hg", "Ag", "Ag", "Pr", "Pr"],
  "frac_coords": [[0.000, 0.000, 0.000], [0.266, 0.266, 0.201], [0.734, 0.734, 0.799], [0.609, 0.609, 0.174], [0.391, 0.391, 0.826], [0.878, 0.878, 0.367], [0.122, 0.122, 0.633]]
}

---

# 9
{
  "formula": "PrYAgHg",
  "functional": "GGA-PBE",
  "state": "relaxed",
  "delta_e_f_ev_per_atom": -0.384,
  "dos_at_fermi_per_ev_cell": 4.1,
  "lattice": [[3.730, 0.000, 0.000], [0.000, 3.730, 0.000], [0.000, 0.000, 7.610]],
  "species": ["Ag", "Pr", "Y", "Hg"],
  "frac_coords": [[0.000, 0.000, 0.378], [0.500, 0.500, 0.111], [0.500, 0.500, 0.600], [0.000, 0.000, 0.840]]
}

---

# 10
{
  "formula": "Pr3Zn6AgHg2",
  "functional": "GGA-PBE",
  "state": "relaxed",
  "delta_e_f_ev_per_atom": -0.208,
  "dos_at_fermi_per_ev_cell": 6.4,
  "lattice": [[5.508, 0.000, 0.000], [-2.754, 4.770, 0.000], [0.000, 0.000, 10.117]],
  "species": ["Zn", "Zn", "Zn", "Zn", "Zn", "Zn", "Pr", "Pr", "Pr", "Ag", "Hg", "Hg"],
  "frac_coords": [[0.661, 0.831, 0.272], [0.831, 0.661, 0.728], [0.169, 0.831, 0.272], [0.169, 0.339, 0.272], [0.831, 0.169, 0.728], [0.339, 0.169, 0.728], [0.667, 0.333, 0.422], [0.333, 0.667, 0.578], [0.000, 0.000, 0.000], [0.000, 0.000, 0.500], [0.667, 0.333, 0.099], [0.333, 0.667, 0.901]]
}

---

# 11
{
  "formula": "PrZnAgHg",
  "functional": "GGA-PBE",
  "state": "relaxed",
  "delta_e_f_ev_per_atom": -0.294,
  "dos_at_fermi_per_ev_cell": 3.0,
  "lattice": [[-4.834, 1.214, 0.614], [-3.106, 0.015, -3.947], [-3.548, -3.530, -0.417]],
  "species": ["Ag", "Pr", "Zn", "Hg"],
  "frac_coords": [[0.250, 0.250, 0.250], [0.750, 0.750, 0.750], [0.500, 0.500, 0.500], [0.000, 0.000, 0.000]]
}

---

# 12
{
  "formula": "Ag2HgPt2",
  "functional": "GGA-PBE",
  "state": "relaxed",
  "delta_e_f_ev_per_atom": 0.110,
  "dos_at_fermi_per_ev_cell": 0.4,
  "e_above_lowest_polymorph_kj_per_mol_atoms": 0.00,
  "lattice": [[6.983, 0.000, 0.000], [0.000, 6.983, 0.000], [0.000, 0.000, 3.913]],
  "species": ["Ag", "Ag", "Ag", "Ag", "Pt", "Pt", "Pt", "Pt", "Hg", "Hg"],
  "frac_coords": [[0.336, 0.164, 0.500], [0.664, 0.836, 0.500], [0.164, 0.664, 0.500], [0.836, 0.336, 0.500], [0.134, 0.366, 0.000], [0.634, 0.134, 0.000], [0.366, 0.866, 0.000], [0.866, 0.634, 0.000], [0.500, 0.500, 0.000], [0.000, 0.000, 0.000]]
}

---

# 13
{
  "formula": "AgHg2Pt2",
  "functional": "GGA-PBE",
  "state": "relaxed",
  "delta_e_f_ev_per_atom": 0.041,
  "dos_at_fermi_per_ev_cell": 3.3,
  "e_above_lowest_polymorph_kj_per_mol_atoms": 0.00,
  "lattice": [[7.066, 0.000, 0.000], [0.000, 7.066, 0.000], [0.000, 0.000, 3.920]],
  "species": ["Ag", "Ag", "Hg", "Hg", "Hg", "Hg", "Pt", "Pt", "Pt", "Pt"],
  "frac_coords": [[0.000, 0.000, 0.000], [0.500, 0.500, 0.000], [0.331, 0.169, 0.500], [0.669, 0.831, 0.500], [0.831, 0.331, 0.500], [0.169, 0.669, 0.500], [0.867, 0.633, 0.000], [0.133, 0.367, 0.000], [0.367, 0.867, 0.000], [0.633, 0.133, 0.000]]
}

---

# 14
{
  "formula": "Ag2HgPt2",
  "functional": "GGA-PBE",
  "state": "relaxed",
  "delta_e_f_ev_per_atom": 0.224,
  "dos_at_fermi_per_ev_cell": 3.1,
  "e_above_lowest_polymorph_kj_per_mol_atoms": 10.94,
  "lattice": [[3.719, 0.000, 0.000], [0.000, 3.719, 0.000], [1.860, 1.860, 7.147]],
  "species": ["Ag", "Ag", "Hg", "Pt", "Pt"],
  "frac_coords": [[0.599, 0.599, 0.801], [0.401, 0.401, 0.199], [0.000, 0.000, 0.000], [0.750, 0.250, 0.500], [0.250, 0.750, 0.500]]
}

---

# 15
{
  "formula": "Ag4HgPt",
  "functional": "GGA-PBE",
  "state": "relaxed",
  "delta_e_f_ev_per_atom": 0.256,
  "dos_at_fermi_per_ev_cell": 1.8,
  "e_above_lowest_polymorph_kj_per_mol_atoms": 17.27,
  "lattice": [[0.000, 3.841, 3.841], [3.841, 0.000, 3.841], [3.841, 3.841, 0.000]],
  "species": ["Ag", "Ag", "Ag", "Ag", "Hg", "Pt"],
  "frac_coords": [[0.375, 0.375, 0.876], [0.375, 0.876, 0.375], [0.375, 0.375, 0.375], [0.876, 0.375, 0.375], [0.750, 0.750, 0.750], [0.000, 0.000, 0.000]]
}

---

# 16
{
  "formula": "Ag7Hg2Pt2",
  "functional": "GGA-PBE",
  "state": "relaxed",
  "delta_e_f_ev_per_atom": 0.116,
  "dos_at_fermi_per_ev_cell": 3.8,
  "lattice": [[-4.468, 0.316, 2.296], [3.939, -4.042, 3.774], [3.633, 5.421, 1.874]],
  "species": ["Ag", "Ag", "Ag", "Ag", "Ag", "Ag", "Ag", "Pt", "Pt", "Hg", "Hg"],
  "frac_coords": [[0.665, 0.921, 0.412], [0.335, 0.588, 0.079], [0.299, 0.583, 0.583], [0.335, 0.079, 0.588], [0.665, 0.412, 0.921], [0.500, 0.000, 0.000], [0.701, 0.417, 0.417], [0.000, 0.761, 0.239], [0.000, 0.239, 0.761], [0.897, 0.810, 0.810], [0.103, 0.190, 0.190]]
}

---

# 17
{
  "formula": "Ag7HgPt3",
  "functional": "GGA-PBE",
  "state": "relaxed",
  "delta_e_f_ev_per_atom": 0.117,
  "dos_at_fermi_per_ev_cell": 5.4,
  "lattice": [[7.012, 0.000, 0.000], [0.000, 5.779, 0.000], [0.000, -2.890, 5.005]],
  "species": ["Ag", "Ag", "Ag", "Ag", "Ag", "Ag", "Ag", "Pt", "Pt", "Pt", "Hg"],
  "frac_coords": [[0.456, 0.835, 0.671], [0.456, 0.329, 0.165], [0.106, 0.164, 0.329], [0.456, 0.835, 0.165], [0.106, 0.164, 0.836], [0.113, 0.667, 0.333], [0.106, 0.671, 0.836], [0.785, 0.995, 0.498], [0.785, 0.502, 0.498], [0.785, 0.502, 0.005], [0.461, 0.333, 0.667]]
}

---

# 18
{
  "formula": "AgHg2Pt2",
  "functional": "GGA-PBE",
  "state": "relaxed",
  "delta_e_f_ev_per_atom": 0.123,
  "dos_at_fermi_per_ev_cell": 3.3,
  "e_above_lowest_polymorph_kj_per_mol_atoms": 7.97,
  "lattice": [[-0.702, -2.513, 7.626], [-6.914, -3.703, -1.856], [1.522, -2.499, -0.683]],
  "species": ["Ag", "Ag", "Pt", "Pt", "Pt", "Pt", "Hg", "Hg", "Hg", "Hg"],
  "frac_coords": [[0.000, 0.000, 0.000], [0.500, 0.500, 0.000], [0.627, 0.873, 0.500], [0.373, 0.127, 0.500], [0.873, 0.373, 0.500], [0.127, 0.627, 0.500], [0.329, 0.829, 0.000], [0.171, 0.329, 0.000], [0.671, 0.171, 0.000], [0.829, 0.671, 0.000]]
}

---

# 19
{
  "formula": "Ag4HgPt",
  "functional": "GGA-PBE",
  "state": "relaxed",
  "delta_e_f_ev_per_atom": 0.077,
  "dos_at_fermi_per_ev_cell": 2.2,
  "e_above_lowest_polymorph_kj_per_mol_atoms": 0.00,
  "lattice": [[8.058, 0.000, 0.000], [0.000, 5.386, -0.454], [0.000, -2.664, 5.396]],
  "species": ["Ag", "Ag", "Ag", "Ag", "Ag", "Ag", "Ag", "Ag", "Pt", "Pt", "Hg", "Hg"],
  "frac_coords": [[0.180, 0.758, 0.241], [0.680, 0.258, 0.241], [0.320, 0.742, 0.759], [0.680, 0.742, 0.759], [0.820, 0.758, 0.241], [0.320, 0.258, 0.241], [0.180, 0.242, 0.759], [0.820, 0.242, 0.759], [0.000, 0.000, 0.000], [0.500, 0.500, 0.000], [0.500, 0.000, 0.500], [0.000, 0.500, 0.500]]
}

---

# 20
{
  "formula": "Ag2HgPt2",
  "functional": "GGA-PBE",
  "state": "relaxed",
  "delta_e_f_ev_per_atom": 0.290,
  "dos_at_fermi_per_ev_cell": 1.6,
  "e_above_lowest_polymorph_kj_per_mol_atoms": 17.38,
  "lattice": [[3.827, 0.000, 0.000], [0.000, 3.827, 0.000], [1.914, 1.914, 6.635]],
  "species": ["Pt", "Pt", "Hg", "Ag", "Ag"],
  "frac_coords": [[0.402, 0.402, 0.196], [0.598, 0.598, 0.804], [0.000, 0.000, 0.000], [0.750, 0.250, 0.500], [0.250, 0.750, 0.500]]
}

---

# 21
{
  "formula": "AgHg2Pt2",
  "functional": "GGA-PBE",
  "state": "relaxed",
  "delta_e_f_ev_per_atom": 0.192,
  "dos_at_fermi_per_ev_cell": 3.8,
  "e_above_lowest_polymorph_kj_per_mol_atoms": 14.57,
  "lattice": [[3.814, 0.000, 0.000], [0.000, 3.814, 0.000], [1.907, 1.907, 7.042]],
  "species": ["Hg", "Hg", "Ag", "Pt", "Pt"],
  "frac_coords": [[0.601, 0.601, 0.798], [0.399, 0.399, 0.202], [0.000, 0.000, 0.000], [0.250, 0.750, 0.500], [0.750, 0.250, 0.500]]
}

---

# 22
{
  "formula": "AgHgPt3",
  "functional": "GGA-PBE",
  "state": "relaxed",
  "delta_e_f_ev_per_atom": 1.406,
  "dos_at_fermi_per_ev_cell": 6.1,
  "e_above_lowest_polymorph_kj_per_mol_atoms": 8.07,
  "lattice": [[5.023, 0.000, 0.000], [0.000, 5.023, 0.000], [0.000, 0.000, 5.023]],
  "species": ["Ag", "Hg", "Pt", "Pt", "Pt"],
  "frac_coords": [[0.500, 0.500, 0.500], [0.000, 0.000, 0.000], [0.000, 0.500, 0.000], [0.500, 0.000, 0.000], [0.000, 0.000, 0.500]]
}

---

# 23
{
  "formula": "AgHgPt3",
  "functional": "GGA-PBE",
  "state": "relaxed",
  "delta_e_f_ev_per_atom": 1.322,
  "dos_at_fermi_per_ev_cell": 3.4,
  "e_above_lowest_polymorph_kj_per_mol_atoms": 0.00,
  "lattice": [[4.908, 0.000, 0.000], [0.000, 4.908, 0.000], [0.000, 0.000, 4.908]],
  "species": ["Hg", "Pt", "Pt", "Pt", "Ag"],
  "frac_coords": [[0.500, 0.500, 0.500], [0.000, 0.500, 0.000], [0.500, 0.000, 0.000], [0.000, 0.000, 0.500], [0.000, 0.000, 0.000]]
}

---

# 24
{
  "formula": "Ag2HgPt2",
  "functional": "GGA-PBE",
  "state": "relaxed",
  "delta_e_f_ev_per_atom": 0.229,
  "dos_at_fermi_per_ev_cell": 6.0,
  "e_above_lowest_polymorph_kj_per_mol_atoms": 11.47,
  "lattice": [[8.004, 0.000, 0.000], [0.000, 8.004, 0.000], [0.000, 0.000, 2.894]],
  "species": ["Hg", "Hg", "Pt", "Pt", "Pt", "Pt", "Ag", "Ag", "Ag", "Ag"],
  "frac_coords": [[0.000, 0.000, 0.000], [0.500, 0.500, 0.000], [0.171, 0.671, 0.500], [0.329, 0.171, 0.500], [0.671, 0.829, 0.500], [0.829, 0.329, 0.500], [0.126, 0.374, 0.000], [0.874, 0.626, 0.000], [0.626, 0.126, 0.000], [0.374, 0.874, 0.000]]
}

---

# 25
{
  "formula": "AgHg2Pt2",
  "functional": "GGA-PBE",
  "state": "relaxed",
  "delta_e_f_ev_per_atom": 0.309,
  "dos_at_fermi_per_ev_cell": 2.0,
  "e_above_lowest_polymorph_kj_per_mol_atoms": 25.87,
  "lattice": [[4.130, 0.000, 0.000], [0.000, 4.130, 0.000], [2.065, 2.065, 6.244]],
  "species": ["Hg", "Hg", "Pt", "Pt", "Ag"],
  "frac_coords": [[0.250, 0.750, 0.500], [0.750, 0.250, 0.500], [0.601, 0.601, 0.797], [0.399, 0.399, 0.203], [0.000, 0.000, 0.000]]
}

---

| no. | uncorrected energy (eV per atom) |
| --- | --- |
| 1 | -3.529 |
| 2 | -3.750 |
| 3 | -3.507 |
| 4 | -2.865 |
| 5 | -3.773 |
| 6 | -2.849 |
| 7 | -3.982 |
| 8 | -3.442 |
| 9 | -3.984 |
| 10 | -2.328 |
| 11 | -2.595 |
| 12 | -3.507 |
| 13 | -3.066 |
| 14 | -3.394 |
| 15 | -2.702 |
| 16 | -2.852 |
| 17 | -3.373 |
| 18 | -2.984 |
| 19 | -2.881 |
| 20 | -3.327 |
| 21 | -2.915 |
| 22 | -2.849 |
| 23 | -2.933 |
| 24 | -3.388 |
| 25 | -2.798 |